Entry from the Alexandria database: a relaxed structure of SrIO (PBE).

The structure in CIF format:
```
data_SrIO
_cell_length_a 7.613
_cell_length_b 4.133
_cell_length_c 11.036
_cell_angle_alpha 90.00
_cell_angle_beta 90.00
_cell_angle_gamma 90.00
_space_group_name_H-M_alt 'P n m a'
_space_group_IT_number 62
loop_
_space_group_symop_operation_xyz
'x,y,z'
'-x,-y,-z'
'-x+1/2,-y,z+1/2'
'x+1/2,y,-z+1/2'
'x+1/2,-y+1/2,-z+1/2'
'-x+1/2,y+1/2,z+1/2'
'-x,y+1/2,-z'
'x,-y+1/2,z'
loop_
_atom_site_label
_atom_site_type_symbol
_atom_site_fract_x
_atom_site_fract_y
_atom_site_fract_z
Sr1 Sr 0.190 0.250 0.092
I1 I 0.054 0.750 0.332
O1 O 0.110 0.750 0.980
```

Properties
Crystal system: orthorhombic
Formation energy from raw total energies, eV per atom: -1.5324
E, Ha/atom: -0.1566